No. 1
The following is a DFT calculation (PBE) of Mg3Zn3Pt2 after structural relaxation.

## Properties
Density of states at the Fermi level   4.9 states/eV per cell
Final energy   -3.056 eV per atom
Symmetry   Cmcm (63)

Structure (extended XYZ):
```
16
Lattice="1.885 -4.827 0.000 1.885 4.827 0.000 0.000 0.000 15.735" Properties=species:S:1:pos:R:3 pbc="T T T"
Mg 1.885 4.297 9.615
Mg 1.885 4.297 13.987
Mg 1.885 1.612 11.801
Mg 1.885 -1.612 3.934
Mg 1.885 -4.297 1.748
Mg 1.885 -4.297 6.119
Zn 1.885 1.347 8.278
Zn 1.885 1.347 15.324
Zn 1.885 1.088 3.934
Zn 1.885 -1.088 11.801
Zn 1.885 -1.347 0.410
Zn 1.885 -1.347 7.457
Pt 1.885 2.585 1.917
Pt 1.885 2.585 5.950
Pt 1.885 -2.585 9.785
Pt 1.885 -2.585 13.818
```

=====

No. 2
The following is a DFT calculation (PBE) of MgZn2Pt after structural relaxation.

## Properties
Density of states at the Fermi level   0.7 states/eV per cell
Final energy   -2.984 eV per atom
Symmetry   C2/m (12)

Structure (extended XYZ):
```
4
Lattice="4.643 -1.528 0.000 4.643 1.528 0.000 -1.205 0.000 4.425" Properties=species:S:1:pos:R:3 pbc="T T T"
Mg 0.000 0.000 0.000
Zn 1.340 0.000 3.220
Zn 6.741 0.000 1.206
Pt 4.040 0.000 2.213
```

=====

No. 3
The following is a DFT calculation (PBE) of MgZn2Pt after structural relaxation.

## Properties
Density of states at the Fermi level   0.8 states/eV per cell
Final energy   -3.021 eV per atom
Symmetry   I-4m2 (119)

Structure (extended XYZ):
```
4
Lattice="-1.947 1.947 4.051 1.947 -1.947 4.051 1.947 1.947 -4.051" Properties=species:S:1:pos:R:3 pbc="T T T"
Mg 0.000 0.000 0.000
Zn 1.947 0.000 2.025
Zn 0.000 0.000 4.051
Pt 0.000 1.947 2.025
```

=====

No. 4
The following is a DFT calculation (PBE) of MgZn9Pt2 after structural relaxation.

## Properties
Density of states at the Fermi level   8.8 states/eV per cell
Final energy   -2.308 eV per atom
Symmetry   I4_1/amd (141)

Structure (extended XYZ):
```
24
Lattice="-5.283 5.283 3.490 5.283 -5.283 3.490 5.283 5.283 -3.490" Properties=species:S:1:pos:R:3 pbc="T T T"
Mg 5.283 2.642 0.872
Mg 0.000 2.642 2.617
Zn 5.283 -2.642 2.617
Zn 4.013 -0.440 1.227
Zn 6.554 -0.440 1.227
Zn 2.202 1.371 0.517
Zn 8.364 1.371 0.517
Zn 4.013 4.844 -1.227
Zn 1.270 -0.440 2.262
Zn 2.202 3.912 0.517
Zn 3.081 -1.371 4.007
Zn 2.202 6.655 -0.517
Zn 3.081 1.371 2.972
Zn 4.013 5.723 1.227
Zn 1.270 0.440 4.717
Zn -3.081 3.912 2.972
Zn 3.081 3.912 2.972
Zn -1.270 5.723 2.262
Zn 1.270 5.723 2.262
Zn 0.000 7.925 0.872
Pt 0.000 0.000 0.000
Pt 2.642 2.642 -1.745
Pt 2.642 -2.642 1.745
Pt 0.000 5.283 0.000
```